[1]
Computed, not measured: a relaxed RbEr2Cu3TeSe4 crystal at the GGA-PBE level of DFT.

Cell lengths 7.5374, 7.5374, 17.4205 Å; angles 90.00, 90.00, 148.04 degrees
Fractional coordinates of all 22 atoms:
Te  0.2483  0.7517  0.2500
Cu  0.8479  0.1521  0.2500
Se  0.3326  0.6674  0.5720
Se  0.9400  0.0600  0.1133
Rb  0.4502  0.5498  0.7500
Se  0.6674  0.3326  0.0720
Se  0.3326  0.6674  0.9280
Cu  0.9146  0.0854  0.9697
Se  0.0600  0.9400  0.6133
Se  0.0600  0.9400  0.8867
Er  0.6891  0.3109  0.9134
Er  0.3109  0.6891  0.4134
Cu  0.1521  0.8479  0.7500
Cu  0.9146  0.0854  0.5303
Se  0.6674  0.3326  0.4280
Se  0.9400  0.0600  0.3867
Er  0.6891  0.3109  0.5866
Cu  0.0854  0.9146  0.4697
Cu  0.0854  0.9146  0.0303
Er  0.3109  0.6891  0.0866
Te  0.7517  0.2483  0.7500
Rb  0.5498  0.4502  0.2500

Space-group type: Cmcm (63)
M_tot: 0.000 μB per formula unit
Calculated total energy: -99.586 eV per cell



[2]
Computed, not measured: a relaxed K2LiHgCl6 crystal at the GGA-PBE level of DFT.

Cell lengths 7.1092, 7.1092, 7.4298 Å; angles 121.47, 121.47, 58.14 degrees
Fractional coordinates of all 10 atoms:
Hg  0.0000  0.0000  0.0000
Cl  0.3056  0.7869  0.2957
K  0.2454  0.2454  0.7422
Cl  0.6944  0.2131  0.7043
Cl  0.2131  0.6944  0.7043
Cl  0.7869  0.3056  0.2957
K  0.7546  0.7546  0.2578
Cl  0.7461  0.7461  0.8319
Cl  0.2539  0.2539  0.1681
Li  0.5000  0.5000  0.5000

Space-group type: C2/m (12)
Calculated total energy: -27.864 eV per cell



Looking at volume for the records above, in order, we have 23.81; 25.58 Å³ per atom.